(1)
VASP calculation (PBE) on a relaxed structure of VFe.

a b c (Å): 3.866 3.866 4.680
angles (deg): 90.00 90.00 120.00
Fractional coordinates of all 4 atoms:
V 0.333 0.667 0.250
V 0.667 0.333 0.750
Fe 0.333 0.667 0.750
Fe 0.667 0.333 0.250

Values from the calculation:
Final energy ... -7.96 eV/atom
DOS(E_F) ... 1.05 states/eV/atom
Formation energy from the elements ... 0.83 eV per atom
Mass density ... 5.86 Mg/m³



(2)
VASP calculation (PBE) on a relaxed structure of Y3TlHg4.

a b c (Å): 9.281 9.281 9.281
angles (deg): 32.50 32.50 32.50
Fractional coordinates of all 8 atoms:
Y 0.000 0.000 0.000
Y 0.243 0.243 0.243
Y 0.757 0.757 0.757
Tl 0.500 0.500 0.500
Hg 0.119 0.119 0.119
Hg 0.367 0.367 0.367
Hg 0.633 0.633 0.633
Hg 0.881 0.881 0.881

Values from the calculation:
Final energy ... -3.28 eV/atom
DOS(E_F) ... 0.58 states/eV/atom
Formation energy from the elements ... -0.41 eV per atom
Mass density ... 10.31 Mg/m³



(3)
VASP calculation (PBE) on a relaxed structure of TaNbRePd2.

a b c (Å): 4.706 4.706 4.790
angles (deg): 90.00 90.00 90.00
Fractional coordinates of all 5 atoms:
Ta 0.000 0.000 0.000
Nb 0.500 0.500 0.500
Re 0.000 0.000 0.500
Pd 0.000 0.500 0.000
Pd 0.500 0.000 0.000

Values from the calculation:
Final energy ... -7.49 eV/atom
DOS(E_F) ... 1.69 states/eV/atom
Formation energy from the elements ... 1.47 eV per atom
Mass density ... 10.53 Mg/m³



(4)
VASP calculation (PBE) on a relaxed structure of ErTmSiPd.

a b c (Å): 4.213 5.677 5.677
angles (deg): 39.86 90.00 90.00
Fractional coordinates of all 4 atoms:
Er 0.000 0.000 0.000
Tm 0.500 0.282 0.282
Si 0.000 0.721 0.721
Pd 0.500 0.566 0.566

Values from the calculation:
Final energy ... -5.77 eV/atom
DOS(E_F) ... 0.48 states/eV/atom
Offset from the most stable computed form ... 0.000 eV/atom
Mass density ... 8.98 Mg/m³



(5)
VASP calculation (PBE) on a relaxed structure of LaNd4Ho3Se8.

a b c (Å): 8.403 8.403 8.403
angles (deg): 59.29 59.29 59.29
Fractional coordinates of all 16 atoms:
La 0.000 0.000 0.000
Nd 0.000 0.000 0.500
Nd 0.000 0.500 0.000
Nd 0.500 0.000 0.000
Nd 0.500 0.500 0.500
Ho 0.000 0.500 0.500
Ho 0.500 0.000 0.500
Ho 0.500 0.500 0.000
Se 0.251 0.251 0.737
Se 0.251 0.737 0.251
Se 0.256 0.256 0.256
Se 0.263 0.749 0.749
Se 0.737 0.251 0.251
Se 0.744 0.744 0.744
Se 0.749 0.263 0.749
Se 0.749 0.749 0.263

Values from the calculation:
Final energy ... -5.91 eV/atom
DOS(E_F) ... 0.59 states/eV/atom
Mass density ... 7.41 Mg/m³



(6)
VASP calculation (PBE) on a relaxed structure of Pm3Si3Os.

a b c (Å): 5.902 5.902 13.902
angles (deg): 110.19 110.19 42.76
Fractional coordinates of all 14 atoms:
Pm 0.017 0.017 0.374
Pm 0.102 0.102 0.920
Pm 0.247 0.247 0.229
Pm 0.753 0.753 0.771
Pm 0.898 0.898 0.080
Pm 0.983 0.983 0.626
Si 0.356 0.356 0.457
Si 0.392 0.392 0.926
Si 0.440 0.440 0.759
Si 0.560 0.560 0.241
Si 0.608 0.608 0.074
Si 0.644 0.644 0.543
Os 0.255 0.255 0.585
Os 0.745 0.745 0.415

Values from the calculation:
Final energy ... -6.70 eV/atom
DOS(E_F) ... 0.66 states/eV/atom
Offset from the most stable computed form ... 0.000 eV/atom
Mass density ... 7.72 Mg/m³



(7)
VASP calculation (PBE) on a relaxed structure of In3Te2Cl.

a b c (Å): 7.951 8.222 8.888
angles (deg): 117.39 113.00 92.87
Fractional coordinates of all 12 atoms:
In 0.065 0.496 0.273
In 0.292 0.172 0.093
In 0.362 0.039 0.627
In 0.638 0.961 0.373
In 0.708 0.828 0.907
In 0.935 0.504 0.727
Te 0.233 0.857 0.226
Te 0.255 0.791 0.731
Te 0.745 0.209 0.269
Te 0.767 0.143 0.774
Cl 0.261 0.328 0.776
Cl 0.739 0.672 0.224

Values from the calculation:
Final energy ... -3.13 eV/atom
Mass density ... 4.63 Mg/m³



(8)
VASP calculation (PBE) on a relaxed structure of SrTl2GeS4.

a b c (Å): 8.235 8.235 8.235
angles (deg): 120.75 118.06 91.05
Fractional coordinates of all 16 atoms:
Sr 0.000 0.000 0.000
Sr 0.500 0.000 0.500
Tl 0.000 0.500 0.500
Tl 0.500 0.000 0.000
Tl 0.500 0.500 0.000
Tl 0.500 0.500 0.500
Ge 0.000 0.000 0.500
Ge 0.000 0.500 0.000
S 0.210 0.745 0.465
S 0.220 0.255 0.965
S 0.232 0.234 0.503
S 0.232 0.729 0.997
S 0.768 0.271 0.003
S 0.768 0.766 0.497
S 0.780 0.745 0.035
S 0.790 0.255 0.535

Values from the calculation:
Final energy ... -4.05 eV/atom
DOS(E_F) ... 0.74 states/eV/atom
Mass density ... 5.82 Mg/m³



(9)
VASP calculation (PBE) on a relaxed structure of GdErTlCo.

a b c (Å): 5.109 5.109 5.109
angles (deg): 60.00 60.00 60.00
Fractional coordinates of all 4 atoms:
Gd 0.000 0.000 0.000
Er 0.500 0.500 0.500
Tl 0.750 0.750 0.750
Co 0.250 0.250 0.250

Values from the calculation:
Final energy ... -7.14 eV/atom
DOS(E_F) ... 0.65 states/eV/atom
Formation energy from the elements ... -0.11 eV per atom
Mass density ... 10.35 Mg/m³



final energy of number 4 (ErTmSiPd)? -5.77 eV/atom



What is the final energy in the third record? -7.49 eV/atom